CoTe2As (PBE, relaxed); electronic total energy = -3.797 eV per atom; total magnetic moment = 1.53 μB per formula unit
1.0
-3.460 2.262 -2.704
0.039 -0.429 -4.921
-3.486 -2.659 -2.275
As Te Co
1 2 1
Direct
0.500 0.500 0.500
0.750 0.750 0.750
0.000 0.000 0.000
0.250 0.250 0.250